No. 1
VASP calculation (GGA-PBE) on a relaxed structure of CsH2Cl4.

Properties
* total energy: -20.3 eV/f.u.

Cell lengths 6.5644, 11.4945, 11.7020 Å; angles 90.00, 90.00, 90.00 degrees
Space group Cccm (No. 66)
Unique sites:
1 Cs 0.0000 0.0000 0.2500
2 H 0.0411 0.3455 0.0000
3 Cl 0.2122 0.4037 0.0000
4 Cl 0.2500 0.2500 0.3876

=====

No. 2
VASP calculation (GGA-PBE) on a relaxed structure of Cs8H2Cl.

Properties
* total energy: -19.4 eV/f.u.

Cell lengths 15.4777, 13.2902, 8.2864 Å; angles 90.00, 91.38, 90.00 degrees
Space group C2/m (No. 12)
Unique sites:
1 Cs 0.1118 0.1819 0.2734
2 Cs 0.1196 0.5000 0.7678
3 Cs 0.1784 0.0000 0.7816
4 H 0.1934 0.0000 0.1360
5 Cl 0.0000 0.0000 0.5000

=====

Question: Among the records above, which one has the lowest total energy?
Answer: CsH2Cl4